Record 1
{
  "formula": "NaGa2HgPd",
  "functional": "GGA-PBE",
  "state": "optimized geometry",
  "cell": [[4.8427, 0.0000, 0.0000], [0.0000, 4.8427, 0.0000], [0.0000, 0.0000, 5.3659]],
  "species": ["Na", "Ga", "Ga", "Hg", "Pd"],
  "fractional_positions": [[0.0000, 0.0000, 0.0000], [0.0000, 0.5000, 0.5000], [0.5000, 0.0000, 0.5000], [0.5000, 0.5000, 0.0000], [0.5000, 0.5000, 0.5000]],
  "de_polymorph_ev_per_atom": 0.020,
  "spacegroup": "No. 123",
  "formation_enthalpy_0k_ev_per_atom": -0.14,
  "energy_ev_per_cell": -13.58
}

Record 2
{
  "formula": "NaPmGaHg",
  "functional": "GGA-PBE",
  "state": "optimized geometry",
  "cell": [[0.0000, 3.6601, 3.6601], [3.6601, 0.0000, 3.6601], [3.6601, 3.6601, 0.0000]],
  "species": ["Na", "Pm", "Ga", "Hg"],
  "fractional_positions": [[0.0000, 0.0000, 0.0000], [0.5000, 0.5000, 0.5000], [0.7500, 0.7500, 0.7500], [0.2500, 0.2500, 0.2500]],
  "spacegroup": "No. 216",
  "formation_enthalpy_0k_ev_per_atom": -0.33,
  "energy_ev_per_cell": -10.74
}

Record 3
{
  "formula": "NaPrGaHg",
  "functional": "GGA-PBE",
  "state": "optimized geometry",
  "cell": [[0.0000, 3.6974, 3.6974], [3.6974, 0.0000, 3.6974], [3.6974, 3.6974, 0.0000]],
  "species": ["Na", "Pr", "Ga", "Hg"],
  "fractional_positions": [[0.0000, 0.0000, 0.0000], [0.5000, 0.5000, 0.5000], [0.7500, 0.7500, 0.7500], [0.2500, 0.2500, 0.2500]],
  "spacegroup": "No. 216",
  "formation_enthalpy_0k_ev_per_atom": -0.34,
  "energy_ev_per_cell": -10.79
}

Record 4
{
  "formula": "NaGaHg2Pt",
  "functional": "GGA-PBE",
  "state": "optimized geometry",
  "cell": [[5.3255, 0.0000, 0.0000], [0.0000, 5.3255, 0.0000], [0.0000, 0.0000, 4.8118]],
  "species": ["Na", "Ga", "Hg", "Hg", "Pt"],
  "fractional_positions": [[0.0000, 0.0000, 0.0000], [0.5000, 0.5000, 0.5000], [0.0000, 0.5000, 0.5000], [0.5000, 0.0000, 0.5000], [0.5000, 0.5000, 0.0000]],
  "de_polymorph_ev_per_atom": 0.239,
  "spacegroup": "No. 123",
  "formation_enthalpy_0k_ev_per_atom": 0.03,
  "energy_ev_per_cell": -10.84
}

Record 5
{
  "formula": "NaGaHg2Pt",
  "functional": "GGA-PBE",
  "state": "optimized geometry",
  "cell": [[5.3600, 0.0000, 0.0000], [0.0000, 5.3600, 0.0000], [0.0000, 0.0000, 4.7772]],
  "species": ["Na", "Ga", "Hg", "Hg", "Pt"],
  "fractional_positions": [[0.0000, 0.0000, 0.0000], [0.5000, 0.5000, 0.0000], [0.0000, 0.5000, 0.5000], [0.5000, 0.0000, 0.5000], [0.5000, 0.5000, 0.5000]],
  "de_polymorph_ev_per_atom": 0.000,
  "spacegroup": "No. 123",
  "formation_enthalpy_0k_ev_per_atom": -0.21,
  "energy_ev_per_cell": -12.04
}

Record 6
{
  "formula": "NaGa2HgPt",
  "functional": "GGA-PBE",
  "state": "optimized geometry",
  "cell": [[4.8406, 0.0000, 0.0000], [0.0000, 4.8406, 0.0000], [0.0000, 0.0000, 5.3665]],
  "species": ["Na", "Ga", "Ga", "Hg", "Pt"],
  "fractional_positions": [[0.0000, 0.0000, 0.0000], [0.0000, 0.5000, 0.5000], [0.5000, 0.0000, 0.5000], [0.5000, 0.5000, 0.0000], [0.5000, 0.5000, 0.5000]],
  "de_polymorph_ev_per_atom": 0.055,
  "spacegroup": "No. 123",
  "formation_enthalpy_0k_ev_per_atom": -0.22,
  "energy_ev_per_cell": -14.83
}

Record 7
{
  "formula": "NaGa2HgPt",
  "functional": "GGA-PBE",
  "state": "optimized geometry",
  "cell": [[4.8004, 0.0000, 0.0000], [0.0000, 4.8004, 0.0000], [0.0000, 0.0000, 5.6660]],
  "species": ["Na", "Ga", "Ga", "Hg", "Pt"],
  "fractional_positions": [[0.0000, 0.0000, 0.0000], [0.0000, 0.5000, 0.5000], [0.5000, 0.0000, 0.5000], [0.5000, 0.5000, 0.0000], [0.0000, 0.0000, 0.5000]],
  "de_polymorph_ev_per_atom": 0.000,
  "spacegroup": "No. 123",
  "formation_enthalpy_0k_ev_per_atom": -0.28,
  "energy_ev_per_cell": -15.10
}

Record 8
{
  "formula": "NaPuGaHg",
  "functional": "GGA-PBE",
  "state": "optimized geometry",
  "cell": [[0.0000, 3.6433, 3.6433], [3.6433, 0.0000, 3.6433], [3.6433, 3.6433, 0.0000]],
  "species": ["Na", "Pu", "Ga", "Hg"],
  "fractional_positions": [[0.0000, 0.0000, 0.0000], [0.5000, 0.5000, 0.5000], [0.7500, 0.7500, 0.7500], [0.2500, 0.2500, 0.2500]],
  "spacegroup": "No. 216",
  "formation_enthalpy_0k_ev_per_atom": -0.07,
  "energy_ev_per_cell": -19.28
}

Record 9
{
  "formula": "RbNa2GaHg",
  "functional": "GGA-PBE",
  "state": "optimized geometry",
  "cell": [[5.8548, 0.0000, 0.0000], [0.0000, 5.8548, 0.0000], [0.0000, 0.0000, 5.4303]],
  "species": ["Rb", "Na", "Na", "Ga", "Hg"],
  "fractional_positions": [[0.0000, 0.0000, 0.0000], [0.0000, 0.5000, 0.5000], [0.5000, 0.0000, 0.5000], [0.5000, 0.5000, 0.5000], [0.5000, 0.5000, 0.0000]],
  "de_polymorph_ev_per_atom": 0.000,
  "spacegroup": "No. 123",
  "formation_enthalpy_0k_ev_per_atom": -0.05,
  "energy_ev_per_cell": -7.20
}

Record 10
{
  "formula": "RbNa2GaHg",
  "functional": "GGA-PBE",
  "state": "optimized geometry",
  "cell": [[5.9291, 0.0000, 0.0000], [0.0000, 5.9291, 0.0000], [0.0000, 0.0000, 5.3423]],
  "species": ["Rb", "Na", "Na", "Ga", "Hg"],
  "fractional_positions": [[0.0000, 0.0000, 0.0000], [0.0000, 0.5000, 0.5000], [0.5000, 0.0000, 0.5000], [0.5000, 0.5000, 0.0000], [0.5000, 0.5000, 0.5000]],
  "de_polymorph_ev_per_atom": 0.025,
  "spacegroup": "No. 123",
  "formation_enthalpy_0k_ev_per_atom": -0.03,
  "energy_ev_per_cell": -7.07
}

Record 11
{
  "formula": "NaGaHgSb",
  "functional": "GGA-PBE",
  "state": "optimized geometry",
  "cell": [[4.3800, 0.0000, 0.0000], [-2.1900, 3.7932, 0.0000], [0.0000, 0.0000, 6.8275]],
  "species": ["Na", "Ga", "Hg", "Sb"],
  "fractional_positions": [[0.0000, 0.0000, 0.0000], [0.3333, 0.6667, 0.2597], [0.3333, 0.6667, 0.7351], [0.6667, 0.3333, 0.4198]],
  "de_polymorph_ev_per_atom": 0.000,
  "spacegroup": "No. 156",
  "energy_ev_per_cell": -9.22,
  "formation_energy_uncorrected_ev_per_atom": -0.113
}

Record 12
{
  "formula": "NaGaHgSb",
  "functional": "GGA-PBE",
  "state": "optimized geometry",
  "cell": [[0.0000, 3.6909, 3.6909], [3.6909, 0.0000, 3.6909], [3.6909, 3.6909, 0.0000]],
  "species": ["Na", "Ga", "Hg", "Sb"],
  "fractional_positions": [[0.0000, 0.0000, 0.0000], [0.7500, 0.7500, 0.7500], [0.2500, 0.2500, 0.2500], [0.5000, 0.5000, 0.5000]],
  "de_polymorph_ev_per_atom": 0.048,
  "spacegroup": "No. 216",
  "energy_ev_per_cell": -9.03,
  "formation_energy_uncorrected_ev_per_atom": -0.065
}

Record 13
{
  "formula": "NaScGaHg",
  "functional": "GGA-PBE",
  "state": "optimized geometry",
  "cell": [[0.0000, 3.4873, 3.4873], [3.4873, 0.0000, 3.4873], [3.4873, 3.4873, 0.0000]],
  "species": ["Na", "Sc", "Ga", "Hg"],
  "fractional_positions": [[0.0000, 0.0000, 0.0000], [0.5000, 0.5000, 0.5000], [0.7500, 0.7500, 0.7500], [0.2500, 0.2500, 0.2500]],
  "spacegroup": "No. 216",
  "formation_enthalpy_0k_ev_per_atom": -0.23,
  "energy_ev_per_cell": -11.91
}

Record 14
{
  "formula": "NaGaHg2Se",
  "functional": "GGA-PBE",
  "state": "optimized geometry",
  "cell": [[5.3820, 0.0000, 0.0000], [0.0000, 5.3820, 0.0000], [0.0000, 0.0000, 5.8942]],
  "species": ["Na", "Ga", "Hg", "Hg", "Se"],
  "fractional_positions": [[0.0000, 0.0000, 0.0000], [0.5000, 0.5000, 0.0000], [0.0000, 0.5000, 0.5000], [0.5000, 0.0000, 0.5000], [0.5000, 0.5000, 0.5000]],
  "spacegroup": "No. 123",
  "energy_ev_per_cell": -7.55,
  "formation_energy_uncorrected_ev_per_atom": 0.177
}

Record 15
{
  "formula": "NaGaSnHg",
  "functional": "GGA-PBE",
  "state": "optimized geometry",
  "cell": [[0.0000, 3.6292, 3.6292], [3.6292, 0.0000, 3.6292], [3.6292, 3.6292, 0.0000]],
  "species": ["Na", "Ga", "Sn", "Hg"],
  "fractional_positions": [[0.0000, 0.0000, 0.0000], [0.7500, 0.7500, 0.7500], [0.5000, 0.5000, 0.5000], [0.2500, 0.2500, 0.2500]],
  "spacegroup": "No. 216",
  "formation_enthalpy_0k_ev_per_atom": -0.09,
  "energy_ev_per_cell": -9.02
}

Record 16
{
  "formula": "Na2GaSn2Hg",
  "functional": "GGA-PBE",
  "state": "optimized geometry",
  "cell": [[-3.2104, 7.9008, 3.1770], [3.2104, -7.9008, 3.1770], [3.2104, 7.9008, -3.1770]],
  "species": ["Na", "Na", "Na", "Na", "Ga", "Ga", "Sn", "Sn", "Sn", "Sn", "Hg", "Hg"],
  "fractional_positions": [[0.1722, 0.2174, 0.3896], [0.3278, 0.7174, 0.0452], [0.6722, 0.2826, 0.9548], [0.8278, 0.7826, 0.6104], [0.2500, 0.7500, 0.5000], [0.7500, 0.2500, 0.5000], [0.1202, 0.7202, 0.8404], [0.3798, 0.2202, 0.6000], [0.6202, 0.7798, 0.4000], [0.8798, 0.2798, 0.1596], [0.2500, 0.2500, 0.0000], [0.7500, 0.7500, 0.0000]],
  "spacegroup": "No. 72",
  "formation_enthalpy_0k_ev_per_atom": -0.14,
  "energy_ev_per_cell": -29.59
}

Record 17
{
  "formula": "NaTbGaHg",
  "functional": "GGA-PBE",
  "state": "optimized geometry",
  "cell": [[0.0000, 3.6095, 3.6095], [3.6095, 0.0000, 3.6095], [3.6095, 3.6095, 0.0000]],
  "species": ["Na", "Tb", "Ga", "Hg"],
  "fractional_positions": [[0.0000, 0.0000, 0.0000], [0.5000, 0.5000, 0.5000], [0.2500, 0.2500, 0.2500], [0.7500, 0.7500, 0.7500]],
  "spacegroup": "No. 216",
  "formation_enthalpy_0k_ev_per_atom": -0.32,
  "energy_ev_per_cell": -10.54
}

Record 18
{
  "formula": "NaGaHgTe",
  "functional": "GGA-PBE",
  "state": "optimized geometry",
  "cell": [[0.0000, 3.8009, 3.8009], [3.8009, 0.0000, 3.8009], [3.8009, 3.8009, 0.0000]],
  "species": ["Na", "Ga", "Hg", "Te"],
  "fractional_positions": [[0.0000, 0.0000, 0.0000], [0.5000, 0.5000, 0.5000], [0.7500, 0.7500, 0.7500], [0.2500, 0.2500, 0.2500]],
  "spacegroup": "No. 216",
  "energy_ev_per_cell": -9.08,
  "formation_energy_uncorrected_ev_per_atom": -0.323
}

Record 19
{
  "formula": "NaThGaHg",
  "functional": "GGA-PBE",
  "state": "optimized geometry",
  "cell": [[0.0000, 3.6854, 3.6854], [3.6854, 0.0000, 3.6854], [3.6854, 3.6854, 0.0000]],
  "species": ["Na", "Th", "Ga", "Hg"],
  "fractional_positions": [[0.0000, 0.0000, 0.0000], [0.5000, 0.5000, 0.5000], [0.2500, 0.2500, 0.2500], [0.7500, 0.7500, 0.7500]],
  "spacegroup": "No. 216",
  "formation_enthalpy_0k_ev_per_atom": -0.19,
  "energy_ev_per_cell": -12.84
}

Record 20
{
  "formula": "NaTi2GaHg",
  "functional": "GGA-PBE",
  "state": "optimized geometry",
  "cell": [[4.8305, 0.0000, 0.0000], [0.0000, 4.8305, 0.0000], [0.0000, 0.0000, 5.0559]],
  "species": ["Na", "Ti", "Ti", "Ga", "Hg"],
  "fractional_positions": [[0.0000, 0.0000, 0.0000], [0.0000, 0.5000, 0.5000], [0.5000, 0.0000, 0.5000], [0.0000, 0.0000, 0.5000], [0.5000, 0.5000, 0.0000]],
  "spacegroup": "No. 123",
  "formation_enthalpy_0k_ev_per_atom": 0.59,
  "energy_ev_per_cell": -17.47
}

Record 21
{
  "formula": "NaTl2GaHg",
  "functional": "GGA-PBE",
  "state": "optimized geometry",
  "cell": [[5.6479, 0.0000, 0.0000], [0.0000, 5.6479, 0.0000], [0.0000, 0.0000, 5.2213]],
  "species": ["Na", "Tl", "Tl", "Ga", "Hg"],
  "fractional_positions": [[0.0000, 0.0000, 0.0000], [0.0000, 0.5000, 0.5000], [0.5000, 0.0000, 0.5000], [0.5000, 0.5000, 0.5000], [0.5000, 0.5000, 0.0000]],
  "spacegroup": "No. 123",
  "formation_enthalpy_0k_ev_per_atom": 0.10,
  "energy_ev_per_cell": -8.88
}

Record 22
{
  "formula": "Na2GaHgW",
  "functional": "GGA-PBE",
  "state": "optimized geometry",
  "cell": [[5.4352, 0.0000, 0.0000], [0.0000, 5.4352, 0.0000], [0.0000, 0.0000, 5.0753]],
  "species": ["Na", "Na", "Ga", "Hg", "W"],
  "fractional_positions": [[0.0000, 0.5000, 0.0000], [0.5000, 0.0000, 0.0000], [0.0000, 0.0000, 0.5000], [0.0000, 0.0000, 0.0000], [0.5000, 0.5000, 0.5000]],
  "spacegroup": "No. 123",
  "formation_enthalpy_0k_ev_per_atom": 1.35,
  "energy_ev_per_cell": -12.19
}

Record 23
{
  "formula": "NaY2GaHg",
  "functional": "GGA-PBE",
  "state": "optimized geometry",
  "cell": [[5.5090, 0.0000, 0.0000], [0.0000, 5.5090, 0.0000], [0.0000, 0.0000, 5.2769]],
  "species": ["Na", "Y", "Y", "Ga", "Hg"],
  "fractional_positions": [[0.0000, 0.0000, 0.0000], [0.0000, 0.5000, 0.5000], [0.5000, 0.0000, 0.5000], [0.0000, 0.0000, 0.5000], [0.5000, 0.5000, 0.0000]],
  "spacegroup": "No. 123",
  "formation_enthalpy_0k_ev_per_atom": 0.11,
  "energy_ev_per_cell": -17.02
}

Record 24
{
  "formula": "NaYGaHg",
  "functional": "GGA-PBE",
  "state": "optimized geometry",
  "cell": [[0.0000, 3.6076, 3.6076], [3.6076, 0.0000, 3.6076], [3.6076, 3.6076, 0.0000]],
  "species": ["Na", "Y", "Ga", "Hg"],
  "fractional_positions": [[0.0000, 0.0000, 0.0000], [0.5000, 0.5000, 0.5000], [0.2500, 0.2500, 0.2500], [0.7500, 0.7500, 0.7500]],
  "spacegroup": "No. 216",
  "formation_enthalpy_0k_ev_per_atom": -0.32,
  "energy_ev_per_cell": -12.38
}

Record 25
{
  "formula": "NbGaHg",
  "functional": "GGA-PBE",
  "state": "optimized geometry",
  "cell": [[2.8814, 0.0000, 0.0000], [0.0221, 2.8947, 0.0000], [1.4354, 0.0083, 13.8627]],
  "species": ["Nb", "Nb", "Ga", "Ga", "Hg", "Hg"],
  "fractional_positions": [[0.1177, 0.0016, 0.2649], [0.8823, 0.9984, 0.7351], [0.4538, 0.4987, 0.5902], [0.5462, 0.5013, 0.4098], [0.2991, 0.4980, 0.9023], [0.7009, 0.5020, 0.0977]],
  "spacegroup": "No. 2",
  "formation_enthalpy_0k_ev_per_atom": 0.00,
  "energy_ev_per_cell": -26.82
}

Record 26
{
  "formula": "Nb3GaHg",
  "functional": "GGA-PBE",
  "state": "optimized geometry",
  "cell": [[4.7640, 0.0000, 0.0000], [0.0000, 4.7640, 0.0000], [0.0000, 0.0000, 4.7640]],
  "species": ["Nb", "Nb", "Nb", "Ga", "Hg"],
  "fractional_positions": [[0.0000, 0.0000, 0.5000], [0.0000, 0.5000, 0.0000], [0.5000, 0.0000, 0.0000], [0.0000, 0.0000, 0.0000], [0.5000, 0.5000, 0.5000]],
  "de_polymorph_ev_per_atom": 0.000,
  "spacegroup": "No. 221",
  "formation_enthalpy_0k_ev_per_atom": 0.93,
  "energy_ev_per_cell": -28.87
}

Record 27
{
  "formula": "NbGa2HgS",
  "functional": "GGA-PBE",
  "state": "optimized geometry",
  "cell": [[4.7174, 0.0000, 0.0000], [0.0000, 4.7174, 0.0000], [0.0000, 0.0000, 5.1207]],
  "species": ["Nb", "Ga", "Ga", "Hg", "S"],
  "fractional_positions": [[0.0000, 0.0000, 0.0000], [0.0000, 0.5000, 0.5000], [0.5000, 0.0000, 0.5000], [0.5000, 0.5000, 0.0000], [0.5000, 0.5000, 0.5000]],
  "spacegroup": "No. 123",
  "energy_ev_per_cell": -15.95,
  "formation_energy_uncorrected_ev_per_atom": 0.920
}

Record 28
{
  "formula": "YNbGa2Hg",
  "functional": "GGA-PBE",
  "state": "optimized geometry",
  "cell": [[4.9355, 0.0000, 0.0000], [0.0000, 4.9355, 0.0000], [0.0000, 0.0000, 5.2728]],
  "species": ["Y", "Nb", "Ga", "Ga", "Hg"],
  "fractional_positions": [[0.0000, 0.0000, 0.0000], [0.5000, 0.5000, 0.5000], [0.0000, 0.5000, 0.5000], [0.5000, 0.0000, 0.5000], [0.5000, 0.5000, 0.0000]],
  "spacegroup": "No. 123",
  "formation_enthalpy_0k_ev_per_atom": 0.17,
  "energy_ev_per_cell": -22.03
}

Record 29
{
  "formula": "Nd4Ga2Hg5",
  "functional": "GGA-PBE",
  "state": "optimized geometry",
  "cell": [[7.9248, 0.0000, 0.0000], [0.0000, 3.9140, 0.0000], [-0.0504, 0.0000, 9.4451]],
  "species": ["Nd", "Nd", "Nd", "Nd", "Ga", "Ga", "Hg", "Hg", "Hg", "Hg", "Hg"],
  "fractional_positions": [[0.1995, 0.0000, 0.3589], [0.2483, 0.0000, 0.9102], [0.7517, 0.0000, 0.0898], [0.8005, 0.0000, 0.6411], [0.0631, 0.5000, 0.1244], [0.9369, 0.5000, 0.8756], [0.1432, 0.5000, 0.6323], [0.4298, 0.5000, 0.1602], [0.5000, 0.5000, 0.5000], [0.5702, 0.5000, 0.8398], [0.8568, 0.5000, 0.3677]],
  "spacegroup": "No. 10",
  "formation_enthalpy_0k_ev_per_atom": -0.45,
  "energy_ev_per_cell": -31.63
}